Entry 1:
# PBE Pr3Ho2Tm, optimized geometry
data_Pr3Ho2Tm
_cell_length_a 3.491
_cell_length_b 5.976
_cell_length_c 19.628
_cell_angle_alpha 90.00
_cell_angle_beta 90.00
_cell_angle_gamma 90.00
_space_group_name_H-M_alt 'I m m m'
_space_group_IT_number 71
_space_group_name_Hall '-I 2 2'
loop_
_atom_site_label
_atom_site_type_symbol
_atom_site_fract_x
_atom_site_fract_y
_atom_site_fract_z
_atom_site_occupancy
Pr1 Pr 0.000 0.000 0.000 1
Pr2 Pr 0.000 0.500 0.188 1
Ho1 Ho 0.000 0.500 0.363 1
Tm1 Tm 0.000 0.500 0.000 1
# * DFT total energy: -4.309 eV/atom

=====

Entry 2:
# PBE HoAlOs2C, optimized geometry
data_HoAlOs2C
_cell_length_a 3.969
_cell_length_b 11.076
_cell_length_c 7.248
_cell_angle_alpha 90.00
_cell_angle_beta 90.00
_cell_angle_gamma 90.00
_space_group_name_H-M_alt 'C m c m'
_space_group_IT_number 63
_space_group_name_Hall '-C 2c 2'
loop_
_atom_site_label
_atom_site_type_symbol
_atom_site_fract_x
_atom_site_fract_y
_atom_site_fract_z
_atom_site_occupancy
Ho1 Ho 0.000 0.049 0.250 1
Al1 Al 0.000 0.231 0.750 1
Os1 Os 0.000 0.334 0.060 1
C1 C 0.000 0.500 0.000 1
# * DFT total energy: -8.334 eV/atom

=====

Entry 3:
# PBE Hf3Zn4Pd4, optimized geometry
data_Hf3Zn4Pd4
_cell_length_a 2.908
_cell_length_b 4.408
_cell_length_c 14.441
_cell_angle_alpha 81.26
_cell_angle_beta 84.25
_cell_angle_gamma 90.00
_space_group_name_H-M_alt 'P -1'
_space_group_IT_number 2
loop_
_space_group_symop_operation_xyz
'x,y,z'
'-x,-y,-z'
loop_
_atom_site_label
_atom_site_type_symbol
_atom_site_fract_x
_atom_site_fract_y
_atom_site_fract_z
_atom_site_occupancy
Hf1 Hf 0.000 0.000 0.000 1
Hf2 Hf 0.138 0.640 0.721 1
Zn1 Zn 0.263 0.264 0.472 1
Zn2 Zn 0.410 0.907 0.185 1
Pd1 Pd 0.317 0.816 0.367 1
Pd2 Pd 0.451 0.451 0.097 1
# * DFT total energy: -5.550 eV/atom

=====

Entry 4:
# PBE La5Sm2Dy5, optimized geometry
data_La5Sm2Dy5
_cell_length_a 15.525
_cell_length_b 5.145
_cell_length_c 11.502
_cell_angle_alpha 90.00
_cell_angle_beta 116.79
_cell_angle_gamma 90.00
_space_group_name_H-M_alt 'C 1 2/m 1'
_space_group_IT_number 12
loop_
_space_group_symop_operation_xyz
'x,y,z'
'-x,-y,-z'
'-x,y,-z'
'x,-y,z'
'x+1/2,y+1/2,z'
'-x+1/2,-y+1/2,-z'
'-x+1/2,y+1/2,-z'
'x+1/2,-y+1/2,z'
loop_
_atom_site_label
_atom_site_type_symbol
_atom_site_fract_x
_atom_site_fract_y
_atom_site_fract_z
_atom_site_occupancy
La1 La 0.000 0.000 0.000 1
La2 La 0.082 0.000 0.750 1
La3 La 0.249 0.000 0.250 1
Sm1 Sm 0.166 0.000 0.499 1
Dy1 Dy 0.000 0.500 0.500 1
Dy2 Dy 0.084 0.500 0.252 1
Dy3 Dy 0.167 0.500 0.000 1
# * DFT total energy: -4.731 eV/atom